{
  "formula": "La2PPb",
  "functional": "meta-GGA SCAN",
  "state": "PBEsol geometry",
  "e_above_lowest_polymorph_kj_per_mol_fu": 126,
  "ef_ev_per_atom": -0.9423,
  "lattice_angstrom": [[4.662, 0.000, 0.000], [2.331, 5.032, 0.058], [2.331, 1.809, 4.696]],
  "species": ["La", "La", "P", "Pb"],
  "fractional_positions": [[0.229, 0.771, 0.771], [0.771, 0.229, 0.229], [0.500, 0.000, 0.000], [0.000, 0.500, 0.500]]
}

{
  "formula": "SbSeI3F6",
  "functional": "meta-GGA SCAN",
  "state": "PBEsol geometry",
  "formation_energy_uncorrected_ev_per_fu": -16.80,
  "lattice_angstrom": [[-3.964, 1.960, -7.336], [-1.590, -9.975, -1.806], [-10.117, 0.250, 7.525]],
  "species": ["Sb", "Sb", "Sb", "Sb", "Se", "Se", "Se", "Se", "I", "I", "I", "I", "I", "I", "I", "I", "I", "I", "I", "I", "F", "F", "F", "F", "F", "F", "F", "F", "F", "F", "F", "F", "F", "F", "F", "F", "F", "F", "F", "F", "F", "F", "F", "F"],
  "fractional_positions": [[0.195, 0.216, 0.072], [0.195, 0.284, 0.572], [0.805, 0.784, 0.928], [0.805, 0.716, 0.428], [0.198, 0.688, 0.709], [0.198, 0.812, 0.209], [0.802, 0.312, 0.291], [0.802, 0.188, 0.791], [0.444, 0.672, 0.619], [0.444, 0.828, 0.119], [0.257, 0.956, 0.372], [0.219, 0.583, 0.282], [0.556, 0.328, 0.381], [0.781, 0.083, 0.218], [0.781, 0.417, 0.718], [0.257, 0.544, 0.872], [0.219, 0.917, 0.782], [0.743, 0.044, 0.628], [0.556, 0.172, 0.881], [0.743, 0.456, 0.128], [0.999, 0.241, 0.490], [0.877, 0.716, 0.802], [0.123, 0.216, 0.698], [0.724, 0.885, 0.459], [0.395, 0.325, 0.649], [0.123, 0.284, 0.198], [0.119, 0.046, 0.100], [0.276, 0.115, 0.541], [0.733, 0.850, 0.056], [0.267, 0.350, 0.444], [0.881, 0.954, 0.900], [0.881, 0.546, 0.400], [0.733, 0.650, 0.556], [0.877, 0.784, 0.302], [0.605, 0.825, 0.851], [0.276, 0.385, 0.041], [0.605, 0.675, 0.351], [0.267, 0.150, 0.944], [0.724, 0.615, 0.959], [0.119, 0.454, 0.600], [0.999, 0.259, 0.990], [0.001, 0.759, 0.510], [0.001, 0.741, 0.010], [0.395, 0.175, 0.149]]
}

{
  "formula": "AlIrPd3",
  "functional": "meta-GGA SCAN",
  "state": "PBEsol geometry",
  "ef_ev_per_atom": 0.7658,
  "lattice_angstrom": [[-3.976, -1.731, 0.540], [1.539, -3.909, -1.201], [0.959, -0.902, 4.166]],
  "species": ["Ir", "Al", "Pd", "Pd", "Pd"],
  "fractional_positions": [[0.500, 0.500, 0.500], [0.000, 0.000, 0.000], [0.000, 0.500, 0.000], [0.000, 0.000, 0.500], [0.500, 0.000, 0.000]]
}

{
  "formula": "Ta8Pt",
  "functional": "meta-GGA SCAN",
  "state": "PBEsol geometry",
  "ef_ev_per_atom": -0.2452,
  "lattice_angstrom": [[-2.649, 2.033, -0.335], [-5.104, -4.249, -2.227], [-3.098, -0.232, 6.278]],
  "species": ["Pt", "Ta", "Ta", "Ta", "Ta", "Ta", "Ta", "Ta", "Ta"],
  "fractional_positions": [[0.000, 0.000, 0.000], [0.668, 0.332, 0.332], [0.332, 0.668, 0.668], [0.000, 0.668, 0.332], [0.667, 0.000, 0.667], [0.333, 0.333, 0.000], [0.000, 0.332, 0.668], [0.667, 0.667, 0.000], [0.333, 0.000, 0.333]]
}

Number 1: calculated volume 27.416 A^3/atom. Number 2: calculated volume 24.959 A^3/atom. Number 3: calculated volume 16.686 A^3/atom. Number 4: calculated volume 17.243 A^3/atom.